This record from Alexandria via LeMat-Bulk describes an optimized crystal structure of V2GaCo5B2. The functional is GGA-PBE.

As for the spin magnetization: 0.294 μB per atom. The total energy is -7.37 eV per atom. The theoretical density comes out at 7.87 Mg/m³.

It has space group P4/mbm (No. 127), with a = 8.428 Å, b = 8.428 Å, c = 2.899 Å, α = 90.00°, β = 90.00° and γ = 90.00°. The asymmetric unit holds V at (0.176, 0.324, 0.000), Ga at (0.000, 0.000, 0.000), Co at (0.000, 0.500, 0.500), Co at (0.070, 0.780, 0.500) and B at (0.122, 0.622, 0.000).